MnTcBi2O | Alexandria | GGA+U | relaxed; total energy = -26.75 eV per cell
1.0
5.156 0.000 0.000
0.000 5.052 0.000
0.000 0.000 5.156
Tc Mn Bi O
1 1 2 1
Cartesian
0.000 0.000 0.000
0.000 2.526 0.000
0.000 0.000 2.578
2.578 0.000 0.000
2.578 2.526 2.578

MnTcBiO6 | Alexandria | GGA+U | relaxed; total energy = -126.72 eV per cell
1.0
4.904 0.000 0.000
0.000 4.904 0.000
0.000 0.000 9.891
O Bi Tc Mn
12 2 2 2
Cartesian
3.537 3.537 6.664
4.042 0.862 5.100
1.084 3.820 1.718
0.945 3.960 7.947
3.960 0.945 7.947
3.397 3.397 3.002
3.820 1.084 1.718
1.508 1.508 3.002
1.590 1.590 0.154
1.368 1.368 6.664
0.862 4.042 5.100
3.314 3.314 0.154
2.452 2.452 5.012
0.000 0.000 0.066
0.000 0.000 6.640
2.452 2.452 1.694
0.000 0.000 3.328
2.452 2.452 8.274